(1)
# LiYZnGe (PBE, optimized geometry)
data_LiYZnGe
_cell_length_a 6.791
_cell_length_b 6.791
_cell_length_c 6.791
_cell_angle_alpha 90.00
_cell_angle_beta 90.00
_cell_angle_gamma 90.00
_symmetry_space_group_name_H-M 'F -4 3 m'
_symmetry_Int_Tables_number 216
_symmetry_space_group_name_Hall 'F -4 2 3'
loop_
_atom_site_label
_atom_site_fract_x
_atom_site_fract_y
_atom_site_fract_z
Li1 0.000 0.000 0.000
Y1 0.000 0.000 0.500
Zn1 0.250 0.250 0.250
Ge1 0.250 0.250 0.750
# E_tot ... -0.1475 hartree per atom
# ΔH_f (0 K) ... -447 meV/atom
# Calculated volume ... 19.6 Å³/atom

(2)
# Th2BeZn3Cu12 (PBE, optimized geometry)
data_Th2BeZn3Cu12
_cell_length_a 6.2813
_cell_length_b 6.2813
_cell_length_c 25.2992
_cell_angle_alpha 90.00
_cell_angle_beta 90.00
_cell_angle_gamma 120.00
_symmetry_space_group_name_H-M 'R -3 m'
_symmetry_Int_Tables_number 166
_symmetry_space_group_name_Hall '-R 3 2"'
loop_
_atom_site_label
_atom_site_fract_x
_atom_site_fract_y
_atom_site_fract_z
Th1 0.0000 0.0000 0.1560
Be1 0.0000 0.0000 0.5000
Zn1 0.0000 0.5000 0.0000
Cu1 0.0619 0.5309 0.0994
Cu2 0.0745 0.5373 0.6152
# E_tot ... -0.1410 hartree per atom
# ΔH_f (0 K) ... 137 meV/atom
# Calculated volume ... 16.0 Å³/atom

(3)
# ZrNiBCl2 (PBE, optimized geometry)
data_ZrNiBCl2
_cell_length_a 5.016
_cell_length_b 5.016
_cell_length_c 4.608
_cell_angle_alpha 90.00
_cell_angle_beta 90.00
_cell_angle_gamma 90.00
_symmetry_space_group_name_H-M 'P 4/m m m'
_symmetry_Int_Tables_number 123
_symmetry_space_group_name_Hall '-P 4 2'
loop_
_atom_site_label
_atom_site_fract_x
_atom_site_fract_y
_atom_site_fract_z
Zr1 0.000 0.000 0.000
Ni1 0.500 0.500 0.500
B1 0.000 0.000 0.500
Cl1 0.000 0.500 0.000
# E_tot ... -0.1590 hartree per atom
# Calculated volume ... 23.2 Å³/atom
# Formation energy (no corrections) ... 613 meV/atom

(4)
# LiPu2Sc3Se6 (PBE, optimized geometry)
data_LiPu2Sc3Se6
_cell_length_a 6.856
_cell_length_b 11.888
_cell_length_c 6.952
_cell_angle_alpha 90.00
_cell_angle_beta 109.28
_cell_angle_gamma 90.00
_symmetry_space_group_name_H-M 'C 1 2/m 1'
_symmetry_Int_Tables_number 12
loop_
_symmetry_equiv_pos_as_xyz
'x,y,z'
'-x,-y,-z'
'-x,y,-z'
'x,-y,z'
'x+1/2,y+1/2,z'
'-x+1/2,-y+1/2,-z'
'-x+1/2,y+1/2,-z'
'x+1/2,-y+1/2,z'
loop_
_atom_site_label
_atom_site_fract_x
_atom_site_fract_y
_atom_site_fract_z
Li1 0.000 0.000 0.000
Pu1 0.000 0.334 0.000
Sc1 0.000 0.169 0.500
Sc2 0.000 0.500 0.500
Se1 0.236 0.000 0.736
Se2 0.250 0.162 0.265
# E_tot ... -0.2736 hartree per atom
# Calculated volume ... 22.3 Å³/atom
# Formation energy (no corrections) ... -1570 meV/atom

(5)
# AcAl2ZnAg4 (PBE, optimized geometry)
data_AcAl2ZnAg4
_cell_length_a 4.5137
_cell_length_b 4.5137
_cell_length_c 28.1940
_cell_angle_alpha 90.00
_cell_angle_beta 90.00
_cell_angle_gamma 120.00
_symmetry_space_group_name_H-M 'R -3 m'
_symmetry_Int_Tables_number 166
_symmetry_space_group_name_Hall '-R 3 2"'
loop_
_atom_site_label
_atom_site_fract_x
_atom_site_fract_y
_atom_site_fract_z
Ac1 0.0000 0.0000 0.0000
Al1 0.0000 0.0000 0.2407
Zn1 0.0000 0.0000 0.5000
Ag1 0.0000 0.0000 0.1360
Ag2 0.0000 0.0000 0.4067
# E_tot ... -0.1176 hartree per atom
# ΔH_f (0 K) ... -166 meV/atom
# Calculated volume ... 20.7 Å³/atom

(6)
# Zr3TcPt (PBE, optimized geometry)
data_Zr3TcPt
_cell_length_a 4.716
_cell_length_b 17.204
_cell_length_c 4.722
_cell_angle_alpha 90.00
_cell_angle_beta 90.00
_cell_angle_gamma 90.00
_symmetry_space_group_name_H-M 'C m c m'
_symmetry_Int_Tables_number 63
_symmetry_space_group_name_Hall '-C 2c 2'
loop_
_atom_site_label
_atom_site_fract_x
_atom_site_fract_y
_atom_site_fract_z
Zr1 0.000 0.058 0.250
Zr2 0.000 0.250 0.250
Zr3 0.000 0.441 0.250
Tc1 0.000 0.155 0.750
Pt1 0.000 0.347 0.750
# E_tot ... -0.3297 hartree per atom
# ΔH_f (0 K) ... -562 meV/atom
# Calculated volume ... 19.2 Å³/atom